No. 1
4
Lattice="5.608 0.000 0.000 0.000 4.535 0.005 0.000 2.485 7.481" Properties=species:S:1:pos:R:3 comment="PBE-GGA Ba3Al, relaxed" dos_ef_per_ev_fu=3.7 delta_e_f_mev_per_atom=96 pbc="T T T"
Ba 2.804 5.715 5.906
Ba 0.000 3.510 3.743
Ba 2.804 1.306 1.580
Al 0.000 0.000 0.000

---

No. 2
9
Lattice="8.721 2.383 -1.604 -8.715 2.017 2.074 1.845 -3.129 8.433" Properties=species:S:1:pos:R:3 comment="PBE-GGA Ba4Al5, relaxed" dos_ef_per_ev_fu=8.1 delta_e_f_mev_per_atom=-26 relative_energy_mev_per_atom=199 pbc="T T T"
Ba 7.583 -0.535 4.901
Ba 2.983 -0.211 1.928
Ba -1.939 -0.314 2.966
Ba -4.930 -0.798 7.541
Al 0.000 0.000 0.000
Al 1.863 2.239 -0.157
Al -1.856 2.161 0.627
Al 1.454 -0.731 6.819
Al 0.398 2.002 2.084

---

No. 3
4
Lattice="4.333 0.000 0.000 0.000 4.266 0.000 0.000 0.000 11.784" Properties=species:S:1:pos:R:3 comment="PBE-GGA Ba3Al, relaxed" dos_ef_per_ev_fu=5.4 delta_e_f_mev_per_atom=159 pbc="T T T"
Ba 0.000 2.133 5.409
Ba 2.167 2.133 1.508
Ba 2.167 0.000 8.948
Al 0.000 0.000 11.631

---

No. 4
2
Lattice="-3.518 3.629 2.746 -4.833 2.893 -1.161 -5.453 0.029 1.830" Properties=species:S:1:pos:R:3 comment="PBE-GGA BaAl, relaxed" dos_ef_per_ev_fu=2.1 delta_e_f_mev_per_atom=241 pbc="T T T"
Ba -6.902 3.276 1.707
Al 0.000 0.000 0.000

---

No. 5
14
Lattice="-1.397 -3.711 2.339 7.521 -4.372 2.085 1.873 1.832 8.554" Properties=species:S:1:pos:R:3 comment="PBE-GGA Ba3Al11, relaxed" dos_ef_per_ev_fu=7.4 delta_e_f_mev_per_atom=-142 pbc="T T T"
Ba 0.000 0.000 0.000
Ba 1.968 -3.346 4.927
Ba 6.030 -2.906 8.051
Al 4.697 -1.270 5.319
Al 2.781 -1.789 7.883
Al 5.216 -4.463 5.095
Al 7.709 -5.435 9.571
Al 0.288 -0.816 3.407
Al 6.164 -3.738 11.340
Al 1.833 -2.513 1.638
Al 6.072 -6.211 7.362
Al 1.926 -0.040 5.616
Al 3.535 -3.425 10.268
Al 4.463 -2.827 2.710

---

No. 6
4
Lattice="6.623 -0.049 0.000 1.753 6.387 0.000 -4.188 -3.169 4.035" Properties=species:S:1:pos:R:3 comment="PBE-GGA Ba3Al, relaxed" dos_ef_per_ev_fu=4.5 delta_e_f_mev_per_atom=92 pbc="T T T"
Ba 0.876 3.193 2.018
Ba 4.188 3.169 0.000
Ba 3.311 -0.025 2.018
Al 0.000 0.000 0.000